Entry a
Entry from the Alexandria database: a geometry-optimized CaTbGd2 structure (PBE).

POSCAR file:
```
CaTbGd2
1.0
8.155 0.000 0.000
0.000 8.155 0.000
0.000 0.000 8.155
Ca Tb Gd
4 4 8
Cartesian
0.000 0.000 0.000
0.000 4.077 4.077
4.077 0.000 4.077
4.077 4.077 0.000
0.000 0.000 4.077
0.000 4.077 0.000
4.077 0.000 0.000
4.077 4.077 4.077
2.039 2.039 2.039
2.039 2.039 6.116
2.039 6.116 2.039
2.039 6.116 6.116
6.116 2.039 2.039
6.116 2.039 6.116
6.116 6.116 2.039
6.116 6.116 6.116
```

Summary:
Space group: Fm-3m (225)
Size of the total moment, μB/f.u.: 15.3

Entry b
Entry from the Alexandria database: a geometry-optimized CaTbGd2 structure (PBE).

POSCAR file:
```
CaTbGd2
1.0
5.152 0.000 0.000
0.000 5.152 0.000
0.000 0.000 5.114
Ca Tb Gd
1 1 2
Cartesian
0.000 0.000 0.000
2.576 2.576 0.000
0.000 2.576 2.557
2.576 0.000 2.557
```

Summary:
Space group: P4/mmm (123)
Size of the total moment, μB/f.u.: 15.7

Entry c
Entry from the Alexandria database: a geometry-optimized CaTbGd2 structure (PBE).

POSCAR file:
```
CaTbGd2
1.0
3.624 0.000 0.000
0.000 3.624 0.000
0.000 0.000 10.427
Ca Tb Gd
1 1 2
Cartesian
0.000 0.000 0.000
0.000 0.000 5.213
1.812 1.812 2.801
1.812 1.812 7.626
```

Summary:
Space group: P4/mmm (123)
Size of the total moment, μB/f.u.: 15.3

Most stable: entry c

Entry a
Entry from the Alexandria database: a geometry-optimized CaGd2Th structure (PBE).

POSCAR file:
```
CaGd2Th
1.0
3.586 0.000 0.000
-1.793 3.106 0.000
0.000 0.000 37.405
Ca Gd Th
3 6 3
Cartesian
0.000 0.000 0.000
0.000 2.070 24.937
1.793 1.035 12.468
0.000 0.000 3.437
0.000 0.000 33.968
0.000 2.070 21.499
0.000 2.070 28.374
1.793 1.035 9.031
1.793 1.035 15.906
0.000 0.000 18.703
0.000 2.070 6.234
1.793 1.035 31.171
```

Summary:
Space group: R-3m (166)
Size of the total moment, μB/f.u.: 14.6

Entry b
Entry from the Alexandria database: a geometry-optimized CaGd2Th structure (PBE).

POSCAR file:
```
CaGd2Th
1.0
3.637 0.000 0.000
0.000 3.637 0.000
0.000 0.000 10.441
Ca Gd Th
1 2 1
Cartesian
0.000 0.000 0.000
1.818 1.818 2.869
1.818 1.818 7.572
0.000 0.000 5.221
```

Summary:
Space group: P4/mmm (123)
Size of the total moment, μB/f.u.: 14.9

Most stable: entry b

Entry a
Entry from the Alexandria database: a geometry-optimized CaGdTh structure (PBE).

POSCAR file:
```
CaGdTh
1.0
3.583 0.000 0.000
0.000 3.583 0.000
0.000 0.000 16.345
Ca Gd Th
2 2 2
Cartesian
0.000 0.000 0.000
1.791 1.791 8.172
0.000 0.000 11.118
1.791 1.791 2.946
0.000 0.000 5.338
1.791 1.791 13.511
```

Summary:
Space group: I4mm (107)
Size of the total moment, μB/f.u.: 7.2

Entry b
Entry from the Alexandria database: a geometry-optimized CaGdTh structure (PBE).

POSCAR file:
```
CaGdTh
1.0
3.632 0.000 0.000
-1.816 3.145 0.000
0.000 0.000 9.101
Ca Gd Th
1 1 1
Cartesian
0.000 0.000 0.000
1.816 1.048 3.218
0.000 2.097 6.003
```

Summary:
Space group: P3m1 (156)
Size of the total moment, μB/f.u.: 7.4

Most stable: entry b

Entry a
Entry from the Alexandria database: a geometry-optimized CaGd2Ti structure (PBE).

POSCAR file:
```
CaGd2Ti
1.0
3.663 0.000 0.000
0.000 3.663 0.000
0.000 0.000 9.146
Ca Gd Ti
1 2 1
Cartesian
0.000 0.000 0.000
1.831 1.831 2.781
1.831 1.831 6.365
0.000 0.000 4.573
```

Summary:
Space group: P4/mmm (123)
Size of the total moment, μB/f.u.: 16.0

Entry b
Entry from the Alexandria database: a geometry-optimized CaGd2Ti structure (PBE).

POSCAR file:
```
CaGd2Ti
1.0
3.397 0.000 0.000
-1.699 2.942 0.000
0.000 0.000 36.361
Ca Gd Ti
3 6 3
Cartesian
0.000 0.000 0.000
0.000 1.961 24.241
1.699 0.981 12.120
0.000 0.000 15.312
0.000 0.000 21.049
0.000 1.961 3.191
0.000 1.961 8.929
1.699 0.981 27.432
1.699 0.981 33.170
0.000 0.000 18.181
0.000 1.961 6.060
1.699 0.981 30.301
```

Summary:
Space group: R-3m (166)
Size of the total moment, μB/f.u.: 13.6

Most stable: entry a